[1]
# Tc3HIr | Alexandria via LeMat-Bulk | meta-GGA SCAN | single point on PBEsol structure
data_Tc3HIr
_symmetry_space_group_name_H-M 'P m -3 m'
_symmetry_Int_Tables_number 221
_symmetry_space_group_name_Hall '-P 4 2 3'
_cell_length_a 3.864
_cell_length_b 3.864
_cell_length_c 3.864
_cell_angle_alpha 90.00
_cell_angle_beta 90.00
_cell_angle_gamma 90.00
loop_
_atom_site_label
_atom_site_fract_x
_atom_site_fract_y
_atom_site_fract_z
Tc1 0.000 0.000 0.500
H1 0.000 0.000 0.000
Ir1 0.500 0.500 0.500
# * theoretical density: 14.0 g/cm³



[2]
# TcTeHIr2 | Alexandria via LeMat-Bulk | meta-GGA SCAN | single point on PBEsol structure
data_TcTeHIr2
_symmetry_space_group_name_H-M 'P 4/m m m'
_symmetry_Int_Tables_number 123
_symmetry_space_group_name_Hall '-P 4 2'
_cell_length_a 3.872
_cell_length_b 3.872
_cell_length_c 4.358
_cell_angle_alpha 90.00
_cell_angle_beta 90.00
_cell_angle_gamma 90.00
loop_
_atom_site_label
_atom_site_fract_x
_atom_site_fract_y
_atom_site_fract_z
Tc1 0.000 0.000 0.000
Te1 0.500 0.500 0.000
H1 0.500 0.500 0.500
Ir1 0.000 0.500 0.500
# * theoretical density: 15.5 g/cm³



[3]
# Ti2H2Ir | Alexandria via LeMat-Bulk | meta-GGA SCAN | single point on PBEsol structure
data_Ti2H2Ir
_symmetry_space_group_name_H-M 'I 4/m m m'
_symmetry_Int_Tables_number 139
_symmetry_space_group_name_Hall '-I 4 2'
_cell_length_a 2.906
_cell_length_b 2.906
_cell_length_c 11.766
_cell_angle_alpha 90.00
_cell_angle_beta 90.00
_cell_angle_gamma 90.00
loop_
_atom_site_label
_atom_site_fract_x
_atom_site_fract_y
_atom_site_fract_z
Ti1 0.000 0.000 0.144
H1 0.000 0.500 0.250
Ir1 0.000 0.000 0.500
# * theoretical density: 9.7 g/cm³



[4]
# TlHIr2 | Alexandria via LeMat-Bulk | meta-GGA SCAN | single point on PBEsol structure
data_TlHIr2
_symmetry_space_group_name_H-M 'F m -3 m'
_symmetry_Int_Tables_number 225
_symmetry_space_group_name_Hall '-F 4 2 3'
_cell_length_a 6.122
_cell_length_b 6.122
_cell_length_c 6.122
_cell_angle_alpha 90.00
_cell_angle_beta 90.00
_cell_angle_gamma 90.00
loop_
_atom_site_label
_atom_site_fract_x
_atom_site_fract_y
_atom_site_fract_z
Tl1 0.000 0.000 0.000
H1 0.000 0.000 0.500
Ir1 0.250 0.250 0.250
# * theoretical density: 17.1 g/cm³



[5]
# H3IrW | Alexandria via LeMat-Bulk | meta-GGA SCAN | single point on PBEsol structure
data_H3IrW
_symmetry_space_group_name_H-M 'P m -3 m'
_symmetry_Int_Tables_number 221
_symmetry_space_group_name_Hall '-P 4 2 3'
_cell_length_a 3.406
_cell_length_b 3.406
_cell_length_c 3.406
_cell_angle_alpha 90.00
_cell_angle_beta 90.00
_cell_angle_gamma 90.00
loop_
_atom_site_label
_atom_site_fract_x
_atom_site_fract_y
_atom_site_fract_z
H1 0.000 0.000 0.500
Ir1 0.000 0.000 0.000
W1 0.500 0.500 0.500
# * theoretical density: 15.9 g/cm³



[6]
# HIrW2 | Alexandria via LeMat-Bulk | meta-GGA SCAN | single point on PBEsol structure
data_HIrW2
_symmetry_space_group_name_H-M 'F m -3 m'
_symmetry_Int_Tables_number 225
_symmetry_space_group_name_Hall '-F 4 2 3'
_cell_length_a 5.988
_cell_length_b 5.988
_cell_length_c 5.988
_cell_angle_alpha 90.00
_cell_angle_beta 90.00
_cell_angle_gamma 90.00
loop_
_atom_site_label
_atom_site_fract_x
_atom_site_fract_y
_atom_site_fract_z
H1 0.000 0.000 0.000
Ir1 0.000 0.000 0.500
W1 0.250 0.250 0.250
# * theoretical density: 17.3 g/cm³



[7]
# Y2H2Ir | Alexandria via LeMat-Bulk | meta-GGA SCAN | single point on PBEsol structure
data_Y2H2Ir
_symmetry_space_group_name_H-M 'I 4/m m m'
_symmetry_Int_Tables_number 139
_symmetry_space_group_name_Hall '-I 4 2'
_cell_length_a 3.375
_cell_length_b 3.375
_cell_length_c 12.597
_cell_angle_alpha 90.00
_cell_angle_beta 90.00
_cell_angle_gamma 90.00
loop_
_atom_site_label
_atom_site_fract_x
_atom_site_fract_y
_atom_site_fract_z
Y1 0.000 0.000 0.137
H1 0.000 0.500 0.250
Ir1 0.000 0.000 0.500
# * theoretical density: 8.6 g/cm³



[8]
# YH2Ir | Alexandria via LeMat-Bulk | meta-GGA SCAN | single point on PBEsol structure
data_YH2Ir
_symmetry_space_group_name_H-M 'F m -3 m'
_symmetry_Int_Tables_number 225
_symmetry_space_group_name_Hall '-F 4 2 3'
_cell_length_a 5.654
_cell_length_b 5.654
_cell_length_c 5.654
_cell_angle_alpha 90.00
_cell_angle_beta 90.00
_cell_angle_gamma 90.00
loop_
_atom_site_label
_atom_site_fract_x
_atom_site_fract_y
_atom_site_fract_z
Y1 0.000 0.000 0.000
H1 0.250 0.250 0.250
Ir1 0.000 0.000 0.500
# * theoretical density: 10.4 g/cm³



[9]
# Y3HIr | Alexandria via LeMat-Bulk | meta-GGA SCAN | single point on PBEsol structure
data_Y3HIr
_symmetry_space_group_name_H-M 'P m -3 m'
_symmetry_Int_Tables_number 221
_symmetry_space_group_name_Hall '-P 4 2 3'
_cell_length_a 4.575
_cell_length_b 4.575
_cell_length_c 4.575
_cell_angle_alpha 90.00
_cell_angle_beta 90.00
_cell_angle_gamma 90.00
loop_
_atom_site_label
_atom_site_fract_x
_atom_site_fract_y
_atom_site_fract_z
Y1 0.000 0.000 0.500
H1 0.000 0.000 0.000
Ir1 0.500 0.500 0.500
# * theoretical density: 8.0 g/cm³



[10]
# Zr2H2Ir | Alexandria via LeMat-Bulk | meta-GGA SCAN | single point on PBEsol structure
data_Zr2H2Ir
_symmetry_space_group_name_H-M 'I 4/m m m'
_symmetry_Int_Tables_number 139
_symmetry_space_group_name_Hall '-I 4 2'
_cell_length_a 3.107
_cell_length_b 3.107
_cell_length_c 12.608
_cell_angle_alpha 90.00
_cell_angle_beta 90.00
_cell_angle_gamma 90.00
loop_
_atom_site_label
_atom_site_fract_x
_atom_site_fract_y
_atom_site_fract_z
Zr1 0.000 0.000 0.140
H1 0.000 0.500 0.250
Ir1 0.000 0.000 0.500
# * theoretical density: 10.3 g/cm³



[11]
# ZrHIr3 | Alexandria via LeMat-Bulk | meta-GGA SCAN | single point on PBEsol structure
data_ZrHIr3
_symmetry_space_group_name_H-M 'P m -3 m'
_symmetry_Int_Tables_number 221
_symmetry_space_group_name_Hall '-P 4 2 3'
_cell_length_a 3.981
_cell_length_b 3.981
_cell_length_c 3.981
_cell_angle_alpha 90.00
_cell_angle_beta 90.00
_cell_angle_gamma 90.00
loop_
_atom_site_label
_atom_site_fract_x
_atom_site_fract_y
_atom_site_fract_z
Zr1 0.000 0.000 0.000
H1 0.500 0.500 0.500
Ir1 0.000 0.500 0.500
# * theoretical density: 17.6 g/cm³



[12]
# ZrH2Ir | Alexandria via LeMat-Bulk | meta-GGA SCAN | single point on PBEsol structure
data_ZrH2Ir
_symmetry_space_group_name_H-M 'I -4 2 d'
_symmetry_Int_Tables_number 122
_symmetry_space_group_name_Hall 'I -4 2bw'
_cell_length_a 4.205
_cell_length_b 4.205
_cell_length_c 9.365
_cell_angle_alpha 90.00
_cell_angle_beta 90.00
_cell_angle_gamma 90.00
loop_
_atom_site_label
_atom_site_fract_x
_atom_site_fract_y
_atom_site_fract_z
Zr1 0.000 0.000 0.000
H1 0.188 0.250 0.625
Ir1 0.000 0.000 0.500
# * theoretical density: 11.4 g/cm³



[13]
# Zr3HIr | Alexandria via LeMat-Bulk | meta-GGA SCAN | single point on PBEsol structure
data_Zr3HIr
_symmetry_space_group_name_H-M 'P m -3 m'
_symmetry_Int_Tables_number 221
_symmetry_space_group_name_Hall '-P 4 2 3'
_cell_length_a 4.293
_cell_length_b 4.293
_cell_length_c 4.293
_cell_angle_alpha 90.00
_cell_angle_beta 90.00
_cell_angle_gamma 90.00
loop_
_atom_site_label
_atom_site_fract_x
_atom_site_fract_y
_atom_site_fract_z
Zr1 0.000 0.000 0.500
H1 0.000 0.000 0.000
Ir1 0.500 0.500 0.500
# * theoretical density: 9.8 g/cm³



[14]
# KH | Alexandria via LeMat-Bulk | meta-GGA SCAN | single point on PBEsol structure
data_KH
_symmetry_space_group_name_H-M 'F m -3 m'
_symmetry_Int_Tables_number 225
_symmetry_space_group_name_Hall '-F 4 2 3'
_cell_length_a 5.549
_cell_length_b 5.549
_cell_length_c 5.549
_cell_angle_alpha 90.00
_cell_angle_beta 90.00
_cell_angle_gamma 90.00
loop_
_atom_site_label
_atom_site_fract_x
_atom_site_fract_y
_atom_site_fract_z
K1 0.000 0.000 0.000
H1 0.000 0.000 0.500
# * theoretical density: 1.6 g/cm³



[15]
# KLaH2S2O9 | Alexandria via LeMat-Bulk | meta-GGA SCAN | single point on PBEsol structure
data_KLaH2S2O9
_symmetry_space_group_name_H-M 'P 32 2 1'
_symmetry_Int_Tables_number 154
_cell_length_a 7.1626
_cell_length_b 7.1626
_cell_length_c 13.1869
_cell_angle_alpha 90.00
_cell_angle_beta 90.00
_cell_angle_gamma 120.00
loop_
_symmetry_equiv_pos_as_xyz
'x,y,z'
'-y,x-y,z+2/3'
'-x+y,-x,z+1/3'
'y,x,-z'
'x-y,-y,-z+1/3'
'-x,-x+y,-z+2/3'
loop_
_atom_site_label
_atom_site_fract_x
_atom_site_fract_y
_atom_site_fract_z
K1 0.0000 0.4491 0.3333
La1 0.0000 0.4329 0.8333
H1 0.0441 0.9554 0.4569
S1 0.0055 0.4417 0.5926
O1 0.0000 0.0813 0.8333
O2 0.1147 0.6242 0.6652
O3 0.1191 0.3651 0.0098
O4 0.1374 0.6138 0.1428
O5 0.1638 0.4155 0.5305
# * theoretical density: 3.3 g/cm³



[16]
# KLiH4S2N2O6 | Alexandria via LeMat-Bulk | meta-GGA SCAN | single point on PBEsol structure
data_KLiH4S2N2O6
_symmetry_space_group_name_H-M 'P 1 21 1'
_symmetry_Int_Tables_number 4
_cell_length_a 5.196
_cell_length_b 8.390
_cell_length_c 8.774
_cell_angle_alpha 90.00
_cell_angle_beta 105.98
_cell_angle_gamma 90.00
loop_
_symmetry_equiv_pos_as_xyz
'x,y,z'
'-x,y+1/2,-z'
loop_
_atom_site_label
_atom_site_fract_x
_atom_site_fract_y
_atom_site_fract_z
K1 0.218 0.000 0.038
Li1 0.098 0.307 0.657
H1 0.329 0.447 0.438
H2 0.351 0.021 0.524
H3 0.440 0.657 0.626
H4 0.483 0.802 0.772
S1 0.078 0.691 0.707
S2 0.361 0.624 0.255
N1 0.402 0.691 0.732
N2 0.447 0.547 0.436
O1 0.007 0.024 0.325
O2 0.036 0.751 0.854
O3 0.054 0.292 0.431
O4 0.076 0.663 0.228
O5 0.405 0.507 0.141
O6 0.474 0.268 0.737
# * theoretical density: 2.2 g/cm³



[17]
# KLiH2WO5 | Alexandria via LeMat-Bulk | meta-GGA SCAN | single point on PBEsol structure
data_KLiH2WO5
_symmetry_space_group_name_H-M 'P b c a'
_symmetry_Int_Tables_number 61
_cell_length_a 7.661
_cell_length_b 12.748
_cell_length_c 10.642
_cell_angle_alpha 90.00
_cell_angle_beta 90.00
_cell_angle_gamma 90.00
loop_
_symmetry_equiv_pos_as_xyz
'x,y,z'
'-x,-y,-z'
'-x+1/2,-y,z+1/2'
'x+1/2,y,-z+1/2'
'x+1/2,-y+1/2,-z'
'-x+1/2,y+1/2,z'
'-x,y+1/2,-z+1/2'
'x,-y+1/2,z+1/2'
loop_
_atom_site_label
_atom_site_fract_x
_atom_site_fract_y
_atom_site_fract_z
K1 0.186 0.133 0.197
Li1 0.009 0.175 0.933
H1 0.164 0.529 0.442
H2 0.242 0.138 0.471
W1 0.064 0.623 0.871
O1 0.034 0.001 0.667
O2 0.067 0.194 0.518
O3 0.083 0.701 0.732
O4 0.142 0.606 0.444
O5 0.222 0.098 0.935
# * theoretical density: 4.0 g/cm³



[18]
# KMg3H | Alexandria via LeMat-Bulk | meta-GGA SCAN | single point on PBEsol structure
data_KMg3H
_symmetry_space_group_name_H-M 'P m -3 m'
_symmetry_Int_Tables_number 221
_symmetry_space_group_name_Hall '-P 4 2 3'
_cell_length_a 4.921
_cell_length_b 4.921
_cell_length_c 4.921
_cell_angle_alpha 90.00
_cell_angle_beta 90.00
_cell_angle_gamma 90.00
loop_
_atom_site_label
_atom_site_fract_x
_atom_site_fract_y
_atom_site_fract_z
K1 0.000 0.000 0.000
Mg1 0.000 0.500 0.500
H1 0.500 0.500 0.500
# * theoretical density: 1.6 g/cm³



[19]
# KMgH2 | Alexandria via LeMat-Bulk | meta-GGA SCAN | single point on PBEsol structure
data_KMgH2
_symmetry_space_group_name_H-M 'I -4 2 d'
_symmetry_Int_Tables_number 122
_symmetry_space_group_name_Hall 'I -4 2bw'
_cell_length_a 5.245
_cell_length_b 5.245
_cell_length_c 11.311
_cell_angle_alpha 90.00
_cell_angle_beta 90.00
_cell_angle_gamma 90.00
loop_
_atom_site_label
_atom_site_fract_x
_atom_site_fract_y
_atom_site_fract_z
K1 0.000 0.000 0.000
Mg1 0.000 0.000 0.500
H1 0.055 0.250 0.625
# * theoretical density: 1.4 g/cm³



Result set for electronic total energy: -180.174, -215.256, -227.975, -851.170, -147.949, -844.831, -276.172, -424.675, -159.675, -286.769, -250.769, -440.414, -168.815, -49.509, -496.211, -241.580, -1106.962, -24.926, -80.276 eV/cell, one per record in the order listed.